(1)
{"formula": "Ti2TlCo", "functional": "PBE-GGA", "state": "relaxed", "space_group": "No. 122", "magnetic_moment_mub_per_fu": 0.0, "formation_energy_mev_per_atom": 224, "dos_at_fermi_per_ev_fu": 2.36, "lattice": [[-1.108, 5.101, 4.863], [-7.016, -0.334, -1.248], [-4.321, 0.442, 3.784]], "species": ["Ti", "Tl", "Ti", "Tl", "Co", "Co", "Ti", "Ti"], "fractional_positions": [[0.875, 0.813, 0.750], [0.000, 0.000, 0.000], [0.375, 0.437, 0.750], [0.750, 0.250, 0.500], [0.500, 0.500, 0.000], [0.250, 0.750, 0.500], [0.563, 0.125, 0.250], [0.187, 0.625, 0.250]]}

***

(2)
{"formula": "Ti2TlCo", "functional": "PBE-GGA", "state": "relaxed", "space_group": "No. 123", "magnetic_moment_mub_per_fu": 1.2, "formation_energy_mev_per_atom": -73, "dos_at_fermi_per_ev_fu": 4.33, "lattice": [[-1.250, 2.396, -1.159], [-2.536, -1.461, -0.285], [-2.124, 2.308, 7.059]], "species": ["Ti", "Co", "Ti", "Tl"], "fractional_positions": [[0.000, 0.000, 0.801], [0.500, 0.500, 0.000], [0.000, 0.000, 0.199], [0.500, 0.500, 0.500]]}

***

(3)
{"formula": "TiTlCo4", "functional": "PBE-GGA", "state": "relaxed", "space_group": "No. 216", "magnetic_moment_mub_per_fu": 3.4, "formation_energy_mev_per_atom": 31, "dos_at_fermi_per_ev_fu": 9.09, "lattice": [[4.825, 0.000, 0.000], [2.413, 4.179, 0.000], [2.413, 1.393, 3.940]], "species": ["Co", "Co", "Tl", "Co", "Ti", "Co"], "fractional_positions": [[0.124, 0.625, 0.625], [0.625, 0.625, 0.625], [0.250, 0.250, 0.250], [0.625, 0.124, 0.625], [0.000, 0.000, 0.000], [0.625, 0.625, 0.124]]}